A plane-wave DFT calculation with PBE was carried out for crystalline PrTm4Cd4 at its relaxed geometry.

a b c (Å): 5.4517 9.5519 9.5519
angles (deg): 90.00 90.00 90.00
Last column: nearest neighbours and their distance in Å.
Positions (direct):
Pr  0.0000  0.0000  0.0000  4 Tm 3.43, 8 Cd 3.44-3.54
Pr  0.5000  0.5000  0.5000  4 Tm 3.43, 8 Cd 3.44-3.54
Tm  0.4884  0.4269  0.8519  4 Cd 3.09-3.23, 1 Tm 3.15, 1 Pr 3.43
Tm  0.9884  0.6481  0.9269  4 Cd 3.09-3.23, 1 Tm 3.15, 1 Pr 3.43
Tm  0.4884  0.5731  0.1481  4 Cd 3.09-3.23, 1 Tm 3.15, 1 Pr 3.43
Tm  0.0116  0.0731  0.6481  4 Cd 3.09-3.23, 1 Tm 3.15, 1 Pr 3.43
Tm  0.5116  0.8519  0.5731  4 Cd 3.09-3.23, 1 Tm 3.15, 1 Pr 3.43
Tm  0.0116  0.9269  0.3519  4 Cd 3.09-3.23, 1 Tm 3.15, 1 Pr 3.43
Tm  0.9884  0.3519  0.0731  4 Cd 3.09-3.23, 1 Tm 3.15, 1 Pr 3.43
Tm  0.5116  0.1481  0.4269  4 Cd 3.09-3.23, 1 Tm 3.15, 1 Pr 3.43
Cd  0.5113  0.8953  0.2027  2 Cd 3.08, 4 Tm 3.09-3.23, 1 Pr 3.44
Cd  0.5113  0.1047  0.7973  2 Cd 3.08, 4 Tm 3.09-3.23, 1 Pr 3.44
Cd  0.0113  0.7027  0.6047  2 Cd 3.08, 4 Tm 3.09-3.23, 1 Pr 3.44
Cd  0.9887  0.3953  0.7027  2 Cd 3.08, 4 Tm 3.09-3.23, 1 Pr 3.44
Cd  0.9887  0.6047  0.2973  2 Cd 3.08, 4 Tm 3.09-3.23, 1 Pr 3.44
Cd  0.4887  0.2027  0.1047  2 Cd 3.08, 4 Tm 3.09-3.23, 1 Pr 3.44
Cd  0.4887  0.7973  0.8953  2 Cd 3.08, 4 Tm 3.09-3.23, 1 Pr 3.44
Cd  0.0113  0.2973  0.3953  2 Cd 3.08, 4 Tm 3.09-3.23, 1 Pr 3.44

Values from the calculation:
D(E_F), states/eV/cell: 15.2
Space group: No. 86
Energy relative to the elements, eV/f.u.: -0.97
DFT total energy, eV for the cell shown: -54.6